Entry 1:
AlCd2Fe | GGA-PBE | optimized geometry

Unit cell a=4.523 b=4.523 c=4.523 alpha=60.00 beta=60.00 gamma=60.00
Element x y z (fractional)
Cd 0.750 0.750 0.750
Fe 0.250 0.250 0.250
Al 0.500 0.500 0.500
Cd 0.000 0.000 0.000

* electronic total energy: -12.61 eV/cell



Entry 2:
HfAlCdFe | GGA-PBE | optimized geometry

Unit cell a=4.560 b=4.560 c=4.560 alpha=60.00 beta=60.00 gamma=60.00
Element x y z (fractional)
Cd 0.250 0.250 0.250
Al 0.000 0.000 0.000
Fe 0.750 0.750 0.750
Hf 0.500 0.500 0.500

* energy above the most stable polymorph in this dataset: 0.000 eV/atom
* electronic total energy: -22.82 eV/cell



Entry 3:
HfAlCdFe | GGA-PBE | optimized geometry

Unit cell a=4.594 b=4.594 c=4.594 alpha=60.00 beta=60.00 gamma=60.00
Element x y z (fractional)
Al 0.000 0.000 0.000
Cd 0.500 0.500 0.500
Hf 0.250 0.250 0.250
Fe 0.750 0.750 0.750

* energy above the most stable polymorph in this dataset: 0.116 eV/atom
* electronic total energy: -22.36 eV/cell



Entry 4:
AlCdFeHg | GGA-PBE | optimized geometry

Unit cell a=4.626 b=4.626 c=4.626 alpha=60.00 beta=60.00 gamma=60.00
Element x y z (fractional)
Hg 0.250 0.250 0.250
Al 0.000 0.000 0.000
Fe 0.750 0.750 0.750
Cd 0.500 0.500 0.500

* energy above the most stable polymorph in this dataset: 0.000 eV/atom
* electronic total energy: -11.84 eV/cell



Entry 5:
AlCdFeHg | GGA-PBE | optimized geometry

Unit cell a=4.630 b=4.630 c=4.630 alpha=60.00 beta=60.00 gamma=60.00
Element x y z (fractional)
Cd 0.250 0.250 0.250
Al 0.000 0.000 0.000
Hg 0.500 0.500 0.500
Fe 0.750 0.750 0.750

* energy above the most stable polymorph in this dataset: 0.021 eV/atom
* electronic total energy: -11.76 eV/cell



Entry 6:
LiAlCdFe | GGA-PBE | optimized geometry

Unit cell a=4.372 b=4.372 c=4.372 alpha=60.00 beta=60.00 gamma=60.00
Element x y z (fractional)
Li 0.500 0.500 0.500
Fe 0.750 0.750 0.750
Al 0.000 0.000 0.000
Cd 0.250 0.250 0.250

* energy above the most stable polymorph in this dataset: 0.071 eV/atom
* electronic total energy: -14.50 eV/cell



Entry 7:
LiAlCdFe | GGA-PBE | optimized geometry

Unit cell a=4.390 b=4.390 c=4.390 alpha=60.00 beta=60.00 gamma=60.00
Element x y z (fractional)
Cd 0.500 0.500 0.500
Al 0.000 0.000 0.000
Li 0.250 0.250 0.250
Fe 0.750 0.750 0.750

* energy above the most stable polymorph in this dataset: 0.000 eV/atom
* electronic total energy: -14.79 eV/cell



Entry 8:
MgAlCdFe | GGA-PBE | optimized geometry

Unit cell a=4.522 b=4.522 c=4.522 alpha=60.00 beta=60.00 gamma=60.00
Element x y z (fractional)
Cd 0.250 0.250 0.250
Al 0.000 0.000 0.000
Fe 0.750 0.750 0.750
Mg 0.500 0.500 0.500

* energy above the most stable polymorph in this dataset: 0.000 eV/atom
* electronic total energy: -13.88 eV/cell



Entry 9:
AlCdFeMo | GGA-PBE | optimized geometry

Unit cell a=4.426 b=4.426 c=4.426 alpha=60.00 beta=60.00 gamma=60.00
Element x y z (fractional)
Fe 0.750 0.750 0.750
Al 0.000 0.000 0.000
Cd 0.250 0.250 0.250
Mo 0.500 0.500 0.500

* energy above the most stable polymorph in this dataset: 0.000 eV/atom
* electronic total energy: -22.40 eV/cell



Entry 10:
NbAlCdFe | GGA-PBE | optimized geometry

Unit cell a=4.458 b=4.458 c=4.458 alpha=60.00 beta=60.00 gamma=60.00
Element x y z (fractional)
Nb 0.500 0.500 0.500
Cd 0.250 0.250 0.250
Fe 0.750 0.750 0.750
Al 0.000 0.000 0.000

* energy above the most stable polymorph in this dataset: 0.000 eV/atom
* electronic total energy: -22.45 eV/cell



Entry 11:
NbAlCdFe | GGA-PBE | optimized geometry

Unit cell a=4.520 b=4.520 c=4.520 alpha=60.00 beta=60.00 gamma=60.00
Element x y z (fractional)
Al 0.000 0.000 0.000
Cd 0.500 0.500 0.500
Fe 0.750 0.750 0.750
Nb 0.250 0.250 0.250

* energy above the most stable polymorph in this dataset: 0.135 eV/atom
* electronic total energy: -21.91 eV/cell



Entry 12:
AlCdFePd | GGA-PBE | optimized geometry

Unit cell a=4.421 b=4.421 c=4.421 alpha=60.00 beta=60.00 gamma=60.00
Element x y z (fractional)
Cd 0.500 0.500 0.500
Fe 0.750 0.750 0.750
Pd 0.250 0.250 0.250
Al 0.000 0.000 0.000

* energy above the most stable polymorph in this dataset: 0.000 eV/atom
* electronic total energy: -18.72 eV/cell



Entry 13:
AlCdFePt | GGA-PBE | optimized geometry

Unit cell a=4.429 b=4.429 c=4.429 alpha=60.00 beta=60.00 gamma=60.00
Element x y z (fractional)
Fe 0.750 0.750 0.750
Cd 0.500 0.500 0.500
Pt 0.250 0.250 0.250
Al 0.000 0.000 0.000

* energy above the most stable polymorph in this dataset: 0.000 eV/atom
* electronic total energy: -19.73 eV/cell



Entry 14:
AlCdFeRe | GGA-PBE | optimized geometry

Unit cell a=4.406 b=4.406 c=4.406 alpha=60.00 beta=60.00 gamma=60.00
Element x y z (fractional)
Re 0.250 0.250 0.250
Al 0.000 0.000 0.000
Fe 0.750 0.750 0.750
Cd 0.500 0.500 0.500

* energy above the most stable polymorph in this dataset: 0.000 eV/atom
* electronic total energy: -23.50 eV/cell



Entry 15:
AlCdFeS4 | GGA-PBE | optimized geometry

Unit cell a=7.166 b=7.166 c=10.098 alpha=90.00 beta=90.00 gamma=90.00
Element x y z (fractional)
S 0.240 0.968 0.022
Al 0.752 0.500 0.750
Cd 0.754 0.246 0.125
Al 0.500 0.248 0.500
S 0.968 0.240 0.728
S 0.463 0.239 0.260
S 0.239 0.463 0.490
S 0.537 0.761 0.760
S 0.032 0.240 0.272
Cd 0.246 0.246 0.875
S 0.968 0.760 0.772
Cd 0.246 0.754 0.625
Fe 0.242 0.000 0.250
S 0.761 0.463 0.510
S 0.537 0.239 0.740
Al 0.500 0.752 0.000
S 0.239 0.537 0.010
Fe 0.000 0.242 0.500
Cd 0.754 0.754 0.375
Al 0.248 0.500 0.250
S 0.240 0.032 0.478
S 0.463 0.761 0.240
S 0.760 0.032 0.522
Fe 0.758 0.000 0.750
S 0.032 0.760 0.228
Fe 0.000 0.758 0.000
S 0.761 0.537 0.990
S 0.760 0.968 0.978

* energy above the most stable polymorph in this dataset: 0.000 eV/atom
* electronic total energy: -135.80 eV/cell



Entry 16:
AlCdFeS4 | GGA-PBE | optimized geometry

Unit cell a=7.256 b=7.256 c=9.804 alpha=90.00 beta=90.00 gamma=90.00
Element x y z (fractional)
S 0.478 0.721 0.232
Fe 0.744 0.500 0.750
S 0.522 0.721 0.768
S 0.522 0.279 0.732
Cd 0.241 0.000 0.250
S 0.721 0.478 0.518
S 0.983 0.720 0.728
S 0.720 0.017 0.478
Fe 0.256 0.500 0.250
S 0.720 0.983 0.022
Fe 0.500 0.256 0.500
Cd 0.759 0.000 0.750
Cd 0.000 0.241 0.500
Al 0.735 0.735 0.375
Al 0.265 0.735 0.625
S 0.983 0.280 0.772
Al 0.265 0.265 0.875
S 0.279 0.522 0.018
Cd 0.000 0.759 0.000
S 0.280 0.017 0.522
S 0.017 0.280 0.228
S 0.279 0.478 0.482
Al 0.735 0.265 0.125
Fe 0.500 0.744 0.000
S 0.017 0.720 0.272
S 0.721 0.522 0.982
S 0.478 0.279 0.268
S 0.280 0.983 0.978

* energy above the most stable polymorph in this dataset: 0.108 eV/atom
* electronic total energy: -132.79 eV/cell



Entry 17:
ScAlCdFe | GGA-PBE | optimized geometry

Unit cell a=4.562 b=4.562 c=4.562 alpha=60.00 beta=60.00 gamma=60.00
Element x y z (fractional)
Fe 0.750 0.750 0.750
Al 0.000 0.000 0.000
Cd 0.250 0.250 0.250
Sc 0.500 0.500 0.500

* energy above the most stable polymorph in this dataset: 0.000 eV/atom
* electronic total energy: -19.49 eV/cell



Entry 18:
ScAlCdFe | GGA-PBE | optimized geometry

Unit cell a=4.591 b=4.591 c=4.591 alpha=60.00 beta=60.00 gamma=60.00
Element x y z (fractional)
Sc 0.250 0.250 0.250
Cd 0.500 0.500 0.500
Fe 0.750 0.750 0.750
Al 0.000 0.000 0.000

* energy above the most stable polymorph in this dataset: 0.005 eV/atom
* electronic total energy: -19.46 eV/cell



Entry 19:
TaAlCdFe | GGA-PBE | optimized geometry

Unit cell a=4.449 b=4.449 c=4.449 alpha=60.00 beta=60.00 gamma=60.00
Element x y z (fractional)
Al 0.000 0.000 0.000
Cd 0.250 0.250 0.250
Ta 0.500 0.500 0.500
Fe 0.750 0.750 0.750

* energy above the most stable polymorph in this dataset: 0.000 eV/atom
* electronic total energy: -24.01 eV/cell



Entry 20:
TaAlCdFe | GGA-PBE | optimized geometry

Unit cell a=4.514 b=4.514 c=4.514 alpha=60.00 beta=60.00 gamma=60.00
Element x y z (fractional)
Ta 0.250 0.250 0.250
Al 0.000 0.000 0.000
Cd 0.500 0.500 0.500
Fe 0.750 0.750 0.750

* energy above the most stable polymorph in this dataset: 0.193 eV/atom
* electronic total energy: -23.24 eV/cell